This record from the Alexandria database describes an optimized crystal structure of ThBe2IrPt2. The functional is GGA-PBE.

Formation energy from the elements: -669 meV/atom
VASP energy: -6.638 eV/atom
Spin magnetization: 0.00 μB per formula unit
Symmetry: I4/mmm, No. 139

Cell lengths 4.0539, 4.0539, 6.9072 Å; angles 107.07, 107.07, 90.00 degrees
Element x y z (fractional)
Be  0.1739  0.1739  0.3478
Be  0.8261  0.8261  0.6522
Th  0.5000  0.5000  0.0000
Pt  0.7500  0.2500  0.5000
Pt  0.2500  0.7500  0.5000
Ir  0.0000  0.0000  0.0000